Here is Tm2NpBiO8 after structural relaxation from Alexandria. Energies are from PBE.

a b c (Å): 5.074 5.074 7.012
angles (deg): 90.00 90.00 90.94
Atoms (fractional coordinates):
1 Tm 0.000 0.000 0.245
2 Tm 0.000 0.000 0.755
3 Np 0.500 0.500 0.500
4 Bi 0.500 0.500 0.000
5 O 0.184 0.184 0.000
6 O 0.214 0.214 0.500
7 O 0.311 0.689 0.281
8 O 0.311 0.689 0.719
9 O 0.689 0.311 0.281
10 O 0.689 0.311 0.719
11 O 0.786 0.786 0.500
12 O 0.816 0.816 0.000

Summary:
E_tot (eV/atom): -8.176
D(E_F) (states/eV/f.u.): 4.2